BeAl2Ni PBEsol relaxed; energy of formation from the pure elements = -0.052 eV per atom; symmetry = No. 216; magnetic moment = 0.0 μB per formula unit; calculated total energy = -18.549 eV/f.u.
1.0
4.074 0.000 0.000
2.037 3.528 0.000
2.037 1.176 3.326
Ni Al Be
1 2 1
Cartesian
6.111 3.528 2.495
0.000 0.000 0.000
2.037 1.176 0.832
4.074 2.352 1.663